Record 1
Here is an optimized crystal structure of IrPt2W from Alexandria. Energies are from PBE.

The calculation puts the energy above the most stable polymorph in this dataset at 0.0036 eV per atom. The calculation puts the energy of formation from the pure elements at -0.2406 eV per atom.

It has space group C2 (No. 5), with a = 5.574 Å, b = 5.577 Å, c = 4.825 Å, α = 90.00°, β = 125.28° and γ = 90.00°. Symmetry generates all atoms from Ir at (0.000, 0.000, 0.000), Pt at (0.000, 0.501, 0.000), Pt at (0.000, 0.751, 0.500) and W at (0.000, 0.251, 0.500).

Record 2
Here is an optimized crystal structure of Ir2PtW from Alexandria. Energies are from PBE.

The calculation puts the energy above the most stable polymorph in this dataset at 0.0704 eV per atom. The calculation puts the energy of formation from the pure elements at -0.1655 eV per atom.

It has space group P4/mmm (No. 123), with a = 3.960 Å, b = 3.960 Å, c = 3.843 Å, α = 90.00°, β = 90.00° and γ = 90.00°. Symmetry generates all atoms from Ir at (0.000, 0.500, 0.000), Pt at (0.000, 0.000, 0.500) and W at (0.500, 0.500, 0.500).

Record 3
Here is an optimized crystal structure of IrPtW2 from Alexandria. Energies are from PBE.

The calculation puts the energy above the most stable polymorph in this dataset at 0.7921 eV per atom. The calculation puts the energy of formation from the pure elements at 0.5031 eV per atom.

It has space group I-42d (No. 122), with a = 3.871 Å, b = 3.871 Å, c = 18.177 Å, α = 90.00°, β = 90.00° and γ = 90.00°. Symmetry generates all atoms from Ir at (0.000, 0.000, 0.000), Pt at (0.000, 0.000, 0.500) and W at (0.245, 0.250, 0.125).

Record 4
Here is an optimized crystal structure of IrPt2W from Alexandria. Energies are from PBE.

The calculation puts the energy above the most stable polymorph in this dataset at 0.1414 eV per atom. The calculation puts the energy of formation from the pure elements at -0.1028 eV per atom.

It has space group P4/mmm (No. 123), with a = 3.917 Å, b = 3.917 Å, c = 4.008 Å, α = 90.00°, β = 90.00° and γ = 90.00°. Symmetry generates all atoms from Ir at (0.000, 0.000, 0.000), Pt at (0.000, 0.500, 0.500) and W at (0.500, 0.500, 0.000).

Record 5
Here is an optimized crystal structure of IrPt2W from Alexandria. Energies are from PBE.

The calculation puts the energy above the most stable polymorph in this dataset at 0.0815 eV per atom. The calculation puts the energy of formation from the pure elements at -0.1627 eV per atom.

It has space group Cm (No. 8), with a = 9.278 Å, b = 2.785 Å, c = 4.830 Å, α = 90.00°, β = 99.97° and γ = 90.00°. Symmetry generates all atoms from Ir at (0.000, 0.000, 0.000), Pt at (0.248, 0.000, 0.740), Pt at (0.492, 0.000, 0.487) and W at (0.243, 0.500, 0.232).

Record 6
Here is an optimized crystal structure of IrPt2W from Alexandria. Energies are from PBE.

The calculation puts the energy above the most stable polymorph in this dataset at 0.0000 eV per atom. The calculation puts the energy of formation from the pure elements at -0.2442 eV per atom.

It has space group Pmm2 (No. 25), with a = 2.781 Å, b = 3.940 Å, c = 5.603 Å, α = 90.00°, β = 90.00° and γ = 90.00°. Symmetry generates all atoms from Ir at (0.000, 0.000, 0.000), Pt at (0.000, 0.000, 0.515), Pt at (0.500, 0.500, 0.259) and W at (0.500, 0.500, 0.770).

Record 7
Here is an optimized crystal structure of IrPtW2 from Alexandria. Energies are from PBE.

The calculation puts the energy above the most stable polymorph in this dataset at 0.1860 eV per atom. The calculation puts the energy of formation from the pure elements at -0.1030 eV per atom.

It has space group R-3m (No. 166, hexagonal axes), with a = 2.7948 Å, b = 2.7948 Å, c = 27.5293 Å, α = 90.00°, β = 90.00° and γ = 120.00°. Symmetry generates all atoms from Ir at (0.0000, 0.0000, 0.0000), Pt at (0.0000, 0.0000, 0.5000) and W at (0.0000, 0.0000, 0.2518).

Record 8
Here is an optimized crystal structure of IrPtW2 from Alexandria. Energies are from PBE.

The calculation puts the energy above the most stable polymorph in this dataset at 0.2749 eV per atom. The calculation puts the energy of formation from the pure elements at -0.0141 eV per atom.

It has space group P4mm (No. 99), with a = 3.318 Å, b = 3.318 Å, c = 5.738 Å, α = 90.00°, β = 90.00° and γ = 90.00°. Symmetry generates all atoms from Ir at (0.000, 0.000, 0.000), Pt at (0.500, 0.500, 0.266), W at (0.000, 0.000, 0.504) and W at (0.500, 0.500, 0.780).

Record 9
Here is an optimized crystal structure of Ir2PtW from Alexandria. Energies are from PBE.

The calculation puts the energy above the most stable polymorph in this dataset at 0.1117 eV per atom. The calculation puts the energy of formation from the pure elements at -0.1242 eV per atom.

It has space group Cmmm (No. 65), with a = 5.560 Å, b = 7.788 Å, c = 2.787 Å, α = 90.00°, β = 90.00° and γ = 90.00°. Symmetry generates all atoms from Ir at (0.250, 0.250, 0.000), Pt at (0.000, 0.000, 0.500) and W at (0.000, 0.500, 0.500).

Record 10
Here is an optimized crystal structure of IrPt2W from Alexandria. Energies are from PBE.

The calculation puts the energy above the most stable polymorph in this dataset at 0.6620 eV per atom. The calculation puts the energy of formation from the pure elements at 0.4178 eV per atom.

It has space group I-42d (No. 122), with a = 7.149 Å, b = 7.149 Å, c = 5.331 Å, α = 90.00°, β = 90.00° and γ = 90.00°. Symmetry generates all atoms from Ir at (0.000, 0.000, 0.000), Pt at (0.237, 0.250, 0.625) and W at (0.000, 0.000, 0.500).

Record 11
Here is an optimized crystal structure of IrPtW from Alexandria. Energies are from PBE.

The calculation puts the energy above the most stable polymorph in this dataset at 0.6999 eV per atom. The calculation puts the energy of formation from the pure elements at 0.3998 eV per atom.

It has space group F-43m (No. 216), with a = 6.029 Å, b = 6.029 Å, c = 6.029 Å, α = 90.00°, β = 90.00° and γ = 90.00°. Symmetry generates all atoms from Ir at (0.000, 0.000, 0.000), Pt at (0.250, 0.250, 0.250) and W at (0.250, 0.250, 0.750).

Record 12
Here is an optimized crystal structure of Ir6PtW5 from Alexandria. Energies are from PBE.

The calculation puts the energy of formation from the pure elements at -0.2606 eV per atom.

It has space group Immm (No. 71), with a = 3.936 Å, b = 7.841 Å, c = 11.791 Å, α = 90.00°, β = 90.00° and γ = 90.00°. Symmetry generates all atoms from Ir at (0.000, 0.245, 0.000), Ir at (0.000, 0.251, 0.332), Pt at (0.000, 0.000, 0.500), W at (0.000, 0.000, 0.166), W at (0.000, 0.500, 0.171) and W at (0.000, 0.500, 0.500).

Record 13
Here is an optimized crystal structure of IrPt2W from Alexandria. Energies are from PBE.

The calculation puts the energy above the most stable polymorph in this dataset at 0.1112 eV per atom. The calculation puts the energy of formation from the pure elements at -0.1330 eV per atom.

It has space group Pmmm (No. 47), with a = 2.768 Å, b = 4.012 Å, c = 5.530 Å, α = 90.00°, β = 90.00° and γ = 90.00°. Symmetry generates all atoms from Ir at (0.000, 0.000, 0.000), Pt at (0.500, 0.500, 0.255) and W at (0.000, 0.000, 0.500).

Record 14
Here is an optimized crystal structure of IrPtW3 from Alexandria. Energies are from PBE.

The calculation puts the energy above the most stable polymorph in this dataset at 0.0000 eV per atom. The calculation puts the energy of formation from the pure elements at 1.8849 eV per atom.

It has space group Pm-3m (No. 221), with a = 4.697 Å, b = 4.697 Å, c = 4.697 Å, α = 90.00°, β = 90.00° and γ = 90.00°. Symmetry generates all atoms from Ir at (0.000, 0.000, 0.000), Pt at (0.500, 0.500, 0.500) and W at (0.000, 0.000, 0.500).